The following is a GGA+U calculation of CrAsSe2O after structural relaxation, from Alexandria.

Computed properties:
The calculation puts the energy above the most stable polymorph in this dataset at 222 meV per atom. The symmetry is No. 123.

Cell: 4.544 4.544 4.718 Å, 90.00 90.00 90.00°
Fractional coordinates of all 5 atoms:
Se: 0.000 0.500 0.000
O: 0.500 0.500 0.500
Cr: 0.000 0.000 0.000
Se: 0.500 0.000 0.000
As: 0.000 0.000 0.500